No. 1
PrVO4 | PBE with a Hubbard U | optimized geometry

The raw total energy is -7.734 eV/atom.

The space group is P2_1/c (No. 14) and the conventional cell measures 5.3201, 5.3211 and 5.3513 Å, with angles of 90.00, 98.20 and 90.00 degrees. The distinct sites, in fractional coordinates, are Pr at (0.0000, 0.0000, 0.0000), V at (0.5000, 0.0000, 0.5000), O at (0.1909, 0.1307, 0.4124) and O at (0.3695, 0.7132, 0.2570).

=====

No. 2
Pr6VO12 | PBE with a Hubbard U | optimized geometry

The raw total energy is -7.978 eV/atom.

The space group is R-3 (No. 148, hexagonal axes) and the conventional cell measures 10.1928, 10.1928 and 9.7960 Å, with angles of 90.00, 90.00 and 120.00 degrees. The distinct sites, in fractional coordinates, are Pr at (0.0547, 0.7915, 0.1516), V at (0.0000, 0.0000, 0.5000), O at (0.0413, 0.8136, 0.9048) and O at (0.0413, 0.8618, 0.3941).